CrOsI2: relaxed, GGA-PBE.

The structure belongs to space group Fm-3m (No. 225); the cell edges are 6.690, 6.690 and 6.690 Å and the angles 90.00°, 90.00° and 90.00°. Symmetry generates all atoms from Cr at (0.000, 0.000, 0.000), Os at (0.000, 0.000, 0.500) and I at (0.250, 0.250, 0.250).

Its magnetization is 0.0 μB per cell. Its density of states at the Fermi level is 18.97 states/eV per cell. As for the energy relative to the lowest polymorph listed for this composition: 149 kJ/mol of formula units. The calculation puts the uncorrected formation energy at 1497 meV per atom.